Entry 1:
# LiLa2Se (GGA-PBE, optimized geometry)
data_LiLa2Se
_chemical_formula_sum 'Li3 La6 Se3'
_symmetry_space_group_name_H-M 'R -3 m'
_symmetry_Int_Tables_number 166
_symmetry_space_group_name_Hall '-R 3 2"'
_cell_length_a 4.2696
_cell_length_b 4.2696
_cell_length_c 24.0673
_cell_angle_alpha 90.00
_cell_angle_beta 90.00
_cell_angle_gamma 120.00
loop_
_atom_site_label
_atom_site_fract_x
_atom_site_fract_y
_atom_site_fract_z
_atom_site_occupancy
Li1 0.0000 0.0000 0.0000 1
La1 0.0000 0.0000 0.2383 1
Se1 0.0000 0.0000 0.5000 1
# volume: 31.66 A^3/atom

---

Entry 2:
# Li2LaSe2 (GGA-PBE, optimized geometry)
data_Li2LaSe2
_chemical_formula_sum 'Li6 La3 Se6'
_symmetry_space_group_name_H-M 'R -3 m'
_symmetry_Int_Tables_number 166
_symmetry_space_group_name_Hall '-R 3 2"'
_cell_length_a 4.1770
_cell_length_b 4.1770
_cell_length_c 23.9671
_cell_angle_alpha 90.00
_cell_angle_beta 90.00
_cell_angle_gamma 120.00
loop_
_atom_site_label
_atom_site_fract_x
_atom_site_fract_y
_atom_site_fract_z
_atom_site_occupancy
Li1 0.0000 0.0000 0.2229 1
La1 0.0000 0.0000 0.0000 1
Se1 0.0000 0.0000 0.4140 1
# volume: 24.14 A^3/atom

---

Entry 3:
# Li2LaSiSe (GGA-PBE, optimized geometry)
data_Li2LaSiSe
_chemical_formula_sum 'Li2 La1 Si1 Se1'
_symmetry_space_group_name_H-M 'P 4/m m m'
_symmetry_Int_Tables_number 123
_symmetry_space_group_name_Hall '-P 4 2'
_cell_length_a 5.930
_cell_length_b 5.930
_cell_length_c 5.207
_cell_angle_alpha 90.00
_cell_angle_beta 90.00
_cell_angle_gamma 90.00
loop_
_atom_site_label
_atom_site_fract_x
_atom_site_fract_y
_atom_site_fract_z
_atom_site_occupancy
Li1 0.000 0.500 0.000 1
La1 0.000 0.000 0.000 1
Si1 0.000 0.000 0.500 1
Se1 0.500 0.500 0.500 1
# volume: 36.62 A^3/atom

---

Formation energy without anion corrections: -3.14, -7.00, 5.19 (eV per formula unit)
Density of states at the Fermi level: 14.46, 6.53, 6.81 (states/eV/cell)
Total moment: 0.00, 0.00, 0.85 (μB per formula unit)